[1]
## NaHo2ReO8 (PBE)

Data for NaHo2ReO8 after structural relaxation.

Results
calculated total energy = -7.41 eV/atom
density = 7.58 g cm⁻³

Geometry as CIF:
```
data_NaHo2ReO8
_chemical_formula_sum 'Na1 Ho2 Re1 O8'
_space_group_name_H-M_alt 'P -1'
_space_group_IT_number 2
_space_group_name_Hall '-P 1'
_cell_length_a 4.177
_cell_length_b 5.264
_cell_length_c 6.845
_cell_angle_alpha 90.66
_cell_angle_beta 103.52
_cell_angle_gamma 92.02
loop_
_atom_site_label
_atom_site_type_symbol
_atom_site_fract_x
_atom_site_fract_y
_atom_site_fract_z
_atom_site_occupancy
Na1 Na 0.000 0.000 0.000 1
Ho1 Ho 0.391 0.482 0.716 1
Re1 Re 0.000 0.000 0.500 1
O1 O 0.175 0.529 0.998 1
O2 O 0.187 0.690 0.421 1
O3 O 0.227 0.216 0.362 1
O4 O 0.326 0.051 0.742 1
```

[2]
## Na2HoReO6 (PBE)

Data for Na2HoReO6 after structural relaxation.

Results
calculated total energy = -7.13 eV/atom
density = 6.31 g cm⁻³

Geometry as CIF:
```
data_Na2HoReO6
_chemical_formula_sum 'Na4 Ho2 Re2 O12'
_space_group_name_H-M_alt 'P 1 21/c 1'
_space_group_IT_number 14
_space_group_name_Hall '-P 2ybc'
_cell_length_a 5.620
_cell_length_b 5.747
_cell_length_c 9.789
_cell_angle_alpha 90.00
_cell_angle_beta 124.81
_cell_angle_gamma 90.00
loop_
_atom_site_label
_atom_site_type_symbol
_atom_site_fract_x
_atom_site_fract_y
_atom_site_fract_z
_atom_site_occupancy
Na1 Na 0.243 0.035 0.251 1
Ho1 Ho 0.500 0.000 0.000 1
Re1 Re 0.000 0.000 0.500 1
O1 O 0.135 0.229 0.952 1
O2 O 0.230 0.687 0.958 1
O3 O 0.313 0.025 0.728 1
```

Quick rundown of formation energy from raw total energies, same order as above: -2196 -2191 meV per atom